Entry 1:
Crystalline CeUPaSi at its relaxed geometry, computed with GGA-PBE.

a = 4.9877 Å, b = 4.9877 Å, c = 4.9877 Å
α = 60.00°, β = 60.00°, γ = 60.00°
Closest atoms and distances in Å follow each position.
Atoms (fractional coordinates):
Si  0.7500  0.7500  0.7500  4 Ce 3.05, 4 Pa 3.05
Pa  0.5000  0.5000  0.5000  4 U 3.05, 4 Si 3.05
U  0.2500  0.2500  0.2500  4 Ce 3.05, 4 Pa 3.05
Ce  0.0000  0.0000  0.0000  4 Si 3.05, 4 U 3.05

Its uncorrected formation energy is 46 meV per atom. The space group is F-43m, No. 216.

***

Entry 2:
Crystalline CePaZnSi at its relaxed geometry, computed with GGA-PBE.

a = 5.0008 Å, b = 5.0008 Å, c = 5.0008 Å
α = 60.00°, β = 60.00°, γ = 60.00°
Closest atoms and distances in Å follow each position.
Atoms (fractional coordinates):
Zn  0.2500  0.2500  0.2500  4 Pa 3.06, 4 Ce 3.06
Pa  0.5000  0.5000  0.5000  4 Si 3.06, 4 Zn 3.06
Si  0.7500  0.7500  0.7500  4 Ce 3.06, 4 Pa 3.06
Ce  0.0000  0.0000  0.0000  4 Zn 3.06, 4 Si 3.06

Its uncorrected formation energy is -157 meV per atom. The space group is F-43m, No. 216.

***

Entry 3:
Crystalline CeSm2Pa at its relaxed geometry, computed with GGA-PBE.

a = 3.3294 Å, b = 3.3294 Å, c = 12.4205 Å
α = 82.30°, β = 82.30°, γ = 60.00°
Closest atoms and distances in Å follow each position.
Atoms (fractional coordinates):
Pa  0.0000  0.0000  0.0000  2 Sm 3.23, 6 Pa 3.33
Ce  0.5000  0.5000  0.5000  6 Ce 3.33, 6 Sm 3.48
Sm  0.0878  0.0878  0.7367  1 Pa 3.23, 6 Sm 3.33, 3 Ce 3.48
Sm  0.9122  0.9122  0.2633  1 Pa 3.23, 6 Sm 3.33, 3 Ce 3.48

Its energy above the lowest structure with this stoichiometry is 120 meV/atom. The calculation puts the energy of formation at 0.319 eV per atom. The space group is R-3m, No. 166.

***

Entry 4:
Crystalline CeSm2Pa at its relaxed geometry, computed with GGA-PBE.

a = 3.3723 Å, b = 3.3723 Å, c = 10.5719 Å
α = 90.00°, β = 90.00°, γ = 90.00°
Closest atoms and distances in Å follow each position.
Atoms (fractional coordinates):
Pa  0.5000  0.5000  0.0000  4 Pa 3.37, 8 Sm 3.43
Ce  0.5000  0.5000  0.5000  4 Ce 3.37, 8 Sm 3.69
Sm  0.0000  0.0000  0.7670  4 Sm 3.37, 4 Pa 3.43, 4 Ce 3.69
Sm  0.0000  0.0000  0.2330  4 Sm 3.37, 4 Pa 3.43, 4 Ce 3.69

Its energy above the lowest structure with this stoichiometry is 0 meV/atom. The calculation puts the energy of formation at 0.199 eV per atom. The space group is P4/mmm, No. 123.

***

Entry 5:
Crystalline Ce2SmPa at its relaxed geometry, computed with GGA-PBE.

a = 3.3572 Å, b = 3.3572 Å, c = 9.9860 Å
α = 90.00°, β = 90.00°, γ = 90.00°
Closest atoms and distances in Å follow each position.
Atoms (fractional coordinates):
Pa  0.5000  0.5000  0.0000  8 Ce 3.30, 4 Pa 3.36
Ce  0.0000  0.0000  0.7699  4 Pa 3.30, 4 Ce 3.36, 4 Sm 3.59
Ce  0.0000  0.0000  0.2301  4 Pa 3.30, 4 Ce 3.36, 4 Sm 3.59
Sm  0.5000  0.5000  0.5000  4 Sm 3.36, 8 Ce 3.59

Its energy above the lowest structure with this stoichiometry is 0 meV/atom. The calculation puts the energy of formation at 0.084 eV per atom. The space group is P4/mmm, No. 123.

***

Entry 6:
Crystalline CeSmPa2 at its relaxed geometry, computed with GGA-PBE.

a = 4.9976 Å, b = 4.6304 Å, c = 4.6304 Å
α = 90.00°, β = 90.00°, γ = 90.00°
Closest atoms and distances in Å follow each position.
Atoms (fractional coordinates):
Pa  0.0000  0.0000  0.5000  4 Pa 3.27, 4 Ce 3.41, 4 Sm 3.41
Pa  0.0000  0.5000  0.0000  4 Pa 3.27, 4 Ce 3.41, 4 Sm 3.41
Ce  0.5000  0.0000  0.0000  4 Sm 3.27, 8 Pa 3.41
Sm  0.5000  0.5000  0.5000  4 Ce 3.27, 8 Pa 3.41

Its energy above the lowest structure with this stoichiometry is 40 meV/atom. The calculation puts the energy of formation at 0.216 eV per atom. The space group is P4/mmm, No. 123.

***

Entry 7:
Crystalline Ce2SmPa at its relaxed geometry, computed with GGA-PBE.

a = 3.8277 Å, b = 3.8277 Å, c = 10.0574 Å
α = 79.03°, β = 79.03°, γ = 60.00°
Closest atoms and distances in Å follow each position.
Atoms (fractional coordinates):
Pa  0.5000  0.5000  0.5000  6 Ce 2.74
Ce  0.1115  0.1115  0.6654  3 Pa 2.74
Ce  0.8885  0.8885  0.3346  3 Pa 2.74
Sm  0.0000  0.0000  0.0000  2 Ce 3.28

Its energy above the lowest structure with this stoichiometry is 597 meV/atom. The calculation puts the energy of formation at 0.681 eV per atom. The space group is R-3m, No. 166.

***

Entry 8:
Crystalline CeSmPa2 at its relaxed geometry, computed with GGA-PBE.

a = 3.2088 Å, b = 3.2088 Å, c = 10.3213 Å
α = 90.00°, β = 90.00°, γ = 90.00°
Closest atoms and distances in Å follow each position.
Atoms (fractional coordinates):
Pa  0.0000  0.0000  0.7613  4 Pa 3.21, 4 Ce 3.35, 4 Sm 3.52
Pa  0.0000  0.0000  0.2387  4 Pa 3.21, 4 Ce 3.35, 4 Sm 3.52
Ce  0.5000  0.5000  0.0000  4 Ce 3.21, 8 Pa 3.35
Sm  0.5000  0.5000  0.5000  4 Sm 3.21, 8 Pa 3.52

Its energy above the lowest structure with this stoichiometry is 0 meV/atom. The calculation puts the energy of formation at 0.177 eV per atom. The space group is P4/mmm, No. 123.

***

Entry 9:
Crystalline Ce2SmPa at its relaxed geometry, computed with GGA-PBE.

a = 5.4003 Å, b = 5.4003 Å, c = 5.4003 Å
α = 60.00°, β = 60.00°, γ = 60.00°
Closest atoms and distances in Å follow each position.
Atoms (fractional coordinates):
Pa  0.5000  0.5000  0.5000  8 Ce 3.31
Ce  0.2500  0.2500  0.2500  4 Pa 3.31, 4 Sm 3.31
Ce  0.7500  0.7500  0.7500  4 Pa 3.31, 4 Sm 3.31
Sm  0.0000  0.0000  0.0000  8 Ce 3.31

Its energy above the lowest structure with this stoichiometry is 279 meV/atom. The calculation puts the energy of formation at 0.363 eV per atom. The space group is Fm-3m, No. 225.

***

Entry 10:
Crystalline Ce2SmPa at its relaxed geometry, computed with GGA-PBE.

a = 4.7158 Å, b = 4.8253 Å, c = 4.8253 Å
α = 90.00°, β = 90.00°, γ = 90.00°
Closest atoms and distances in Å follow each position.
Atoms (fractional coordinates):
Pa  0.5000  0.5000  0.5000  8 Ce 3.37, 4 Sm 3.41
Ce  0.0000  0.0000  0.5000  4 Pa 3.37, 4 Sm 3.37, 4 Ce 3.41
Ce  0.0000  0.5000  0.0000  4 Pa 3.37, 4 Sm 3.37, 4 Ce 3.41
Sm  0.5000  0.0000  0.0000  8 Ce 3.37, 4 Pa 3.41

Its energy above the lowest structure with this stoichiometry is 105 meV/atom. The calculation puts the energy of formation at 0.189 eV per atom. The space group is P4/mmm, No. 123.

***

Entry 11:
Crystalline CeSmPaTc at its relaxed geometry, computed with GGA-PBE.

a = 5.0463 Å, b = 5.0463 Å, c = 5.0463 Å
α = 60.00°, β = 60.00°, γ = 60.00°
Closest atoms and distances in Å follow each position.
Atoms (fractional coordinates):
Pa  0.0000  0.0000  0.0000  4 Ce 3.09, 4 Tc 3.09
Ce  0.7500  0.7500  0.7500  4 Sm 3.09, 4 Pa 3.09
Sm  0.5000  0.5000  0.5000  4 Ce 3.09, 4 Tc 3.09
Tc  0.2500  0.2500  0.2500  4 Pa 3.09, 4 Sm 3.09

The calculation puts the energy of formation at 0.191 eV per atom. The space group is F-43m, No. 216.

***

Entry 12:
Crystalline CeSm2PaTc2 at its relaxed geometry, computed with GGA-PBE.

a = 6.8473 Å, b = 6.8993 Å, c = 8.2618 Å
α = 114.68°, β = 114.48°, γ = 90.00°
Closest atoms and distances in Å follow each position.
Atoms (fractional coordinates):
Ce  0.2500  0.0000  0.0000  4 Tc 2.78
Ce  0.7500  0.0000  0.0000  4 Tc 2.78
Sm  0.6914  0.9235  0.3829  1 Tc 2.96
Sm  0.1914  0.4594  0.3829  1 Tc 2.96
Sm  0.8086  0.5406  0.6171  1 Tc 2.96
Sm  0.3086  0.0765  0.6171  1 Tc 2.96
Pa  0.7500  0.5000  0.0000  4 Tc 2.62
Pa  0.2500  0.5000  0.0000  4 Tc 2.62
Tc  0.4122  0.6446  0.8245  2 Pa 2.62, 2 Ce 2.78
Tc  0.5878  0.3554  0.1755  2 Pa 2.62, 2 Ce 2.78
Tc  0.0878  0.8201  0.1755  2 Pa 2.62, 2 Ce 2.78
Tc  0.9122  0.1799  0.8245  2 Pa 2.62, 2 Ce 2.78

The calculation puts the energy of formation at -0.038 eV per atom. The space group is Ibam, No. 72.

***

Entry 13:
Crystalline CeSmYPa at its relaxed geometry, computed with GGA-PBE.

a = 5.5680 Å, b = 5.5680 Å, c = 5.5680 Å
α = 60.00°, β = 60.00°, γ = 60.00°
Closest atoms and distances in Å follow each position.
Atoms (fractional coordinates):
Y  0.7500  0.7500  0.7500  4 Ce 3.41, 4 Sm 3.41
Pa  0.2500  0.2500  0.2500  4 Ce 3.41, 4 Sm 3.41
Ce  0.5000  0.5000  0.5000  4 Pa 3.41, 4 Y 3.41
Sm  0.0000  0.0000  0.0000  4 Pa 3.41, 4 Y 3.41

The calculation puts the energy of formation at 0.388 eV per atom. The space group is F-43m, No. 216.

***

Entry 14:
Crystalline Ce2PaSn at its relaxed geometry, computed with GGA-PBE.

a = 3.9552 Å, b = 3.9552 Å, c = 6.7875 Å
α = 90.00°, β = 90.00°, γ = 90.00°
Closest atoms and distances in Å follow each position.
Atoms (fractional coordinates):
Pa  0.5000  0.5000  0.5000  8 Ce 3.28, 2 Sn 3.39
Sn  0.5000  0.5000  0.0000  8 Ce 3.26, 2 Pa 3.39
Ce  0.0000  0.0000  0.7533  4 Sn 3.26, 4 Pa 3.28, 2 Ce 3.35-3.44
Ce  0.0000  0.0000  0.2467  4 Sn 3.26, 4 Pa 3.28, 2 Ce 3.35-3.44

Its energy above the lowest structure with this stoichiometry is 95 meV/atom. The calculation puts the energy of formation at -0.175 eV per atom. The space group is P4/mmm, No. 123.

***

Entry 15:
Crystalline Ce3PaSn12 at its relaxed geometry, computed with GGA-PBE.

a = 4.7135 Å, b = 4.7135 Å, c = 18.6578 Å
α = 90.00°, β = 90.00°, γ = 90.00°
Closest atoms and distances in Å follow each position.
Atoms (fractional coordinates):
Ce  0.0000  0.0000  0.2476  12 Sn 3.31-3.34
Ce  0.0000  0.0000  0.5000  12 Sn 3.33
Ce  0.0000  0.0000  0.7524  12 Sn 3.31-3.34
Pa  0.0000  0.0000  0.0000  12 Sn 3.29-3.33
Sn  0.5000  0.5000  0.0000  8 Sn 3.29, 4 Pa 3.33
Sn  0.5000  0.5000  0.2490  8 Sn 3.32-3.33, 4 Ce 3.33
Sn  0.5000  0.5000  0.5000  8 Sn 3.33, 4 Ce 3.33
Sn  0.5000  0.5000  0.7510  8 Sn 3.32-3.33, 4 Ce 3.33
Sn  0.5000  0.0000  0.1229  2 Pa 3.29, 8 Sn 3.29-3.33, 2 Ce 3.31
Sn  0.5000  0.0000  0.3741  8 Sn 3.32-3.33, 4 Ce 3.33-3.34
Sn  0.5000  0.0000  0.6259  8 Sn 3.32-3.33, 4 Ce 3.33-3.34
Sn  0.5000  0.0000  0.8771  2 Pa 3.29, 8 Sn 3.29-3.33, 2 Ce 3.31
Sn  0.0000  0.5000  0.1229  8 Sn 3.29-3.33, 2 Pa 3.29, 2 Ce 3.31
Sn  0.0000  0.5000  0.3741  8 Sn 3.32-3.33, 4 Ce 3.33-3.34
Sn  0.0000  0.5000  0.6259  8 Sn 3.32-3.33, 4 Ce 3.33-3.34
Sn  0.0000  0.5000  0.8771  8 Sn 3.29-3.33, 2 Pa 3.29, 2 Ce 3.31

The calculation puts the energy of formation at -0.484 eV per atom. The space group is P4/mmm, No. 123.

***

Entry 16:
Crystalline CePa2Sn9 at its relaxed geometry, computed with GGA-PBE.

a = 4.6699 Å, b = 4.6699 Å, c = 14.0317 Å
α = 90.00°, β = 90.00°, γ = 90.00°
Closest atoms and distances in Å follow each position.
Atoms (fractional coordinates):
Ce  0.0000  0.0000  0.0000  12 Sn 3.30-3.34
Pa  0.0000  0.0000  0.3360  12 Sn 3.28-3.30
Pa  0.0000  0.0000  0.6640  12 Sn 3.28-3.30
Sn  0.5000  0.5000  0.0000  4 Ce 3.30, 8 Sn 3.34
Sn  0.5000  0.5000  0.3343  8 Sn 3.28-3.29, 4 Pa 3.30
Sn  0.5000  0.5000  0.6657  8 Sn 3.28-3.29, 4 Pa 3.30
Sn  0.5000  0.0000  0.1698  8 Sn 3.28-3.34, 2 Pa 3.30, 2 Ce 3.34
Sn  0.5000  0.0000  0.5000  4 Pa 3.28, 8 Sn 3.29-3.30
Sn  0.5000  0.0000  0.8302  8 Sn 3.28-3.34, 2 Pa 3.30, 2 Ce 3.34
Sn  0.0000  0.5000  0.1698  8 Sn 3.28-3.34, 2 Pa 3.30, 2 Ce 3.34
Sn  0.0000  0.5000  0.5000  4 Pa 3.28, 8 Sn 3.29-3.30
Sn  0.0000  0.5000  0.8302  8 Sn 3.28-3.34, 2 Pa 3.30, 2 Ce 3.34

The calculation puts the energy of formation at -0.384 eV per atom. The space group is P4/mmm, No. 123.

***

Entry 17:
Crystalline Ce2PaSn at its relaxed geometry, computed with GGA-PBE.

a = 5.3375 Å, b = 5.3375 Å, c = 5.3375 Å
α = 60.00°, β = 60.00°, γ = 60.00°
Closest atoms and distances in Å follow each position.
Atoms (fractional coordinates):
Pa  0.0000  0.0000  0.0000  8 Ce 3.27
Sn  0.5000  0.5000  0.5000  8 Ce 3.27
Ce  0.2500  0.2500  0.2500  4 Pa 3.27, 4 Sn 3.27
Ce  0.7500  0.7500  0.7500  4 Sn 3.27, 4 Pa 3.27

Its energy above the lowest structure with this stoichiometry is 197 meV/atom. The calculation puts the energy of formation at -0.072 eV per atom. The space group is Fm-3m, No. 225.

***

Entry 18:
Crystalline Ce2PaSn at its relaxed geometry, computed with GGA-PBE.

a = 4.6671 Å, b = 4.7455 Å, c = 4.7455 Å
α = 90.00°, β = 90.00°, γ = 90.00°
Closest atoms and distances in Å follow each position.
Atoms (fractional coordinates):
Pa  0.5000  0.5000  0.5000  8 Ce 3.33, 4 Sn 3.36
Sn  0.5000  0.0000  0.0000  8 Ce 3.33, 4 Pa 3.36
Ce  0.0000  0.0000  0.5000  4 Pa 3.33, 4 Sn 3.33, 4 Ce 3.36
Ce  0.0000  0.5000  0.0000  4 Pa 3.33, 4 Sn 3.33, 4 Ce 3.36

Its energy above the lowest structure with this stoichiometry is 0 meV/atom. The calculation puts the energy of formation at -0.270 eV per atom. The space group is P4/mmm, No. 123.

***

Entry 19:
Crystalline CePa4Sn at its relaxed geometry, computed with GGA-PBE.

a = 6.0395 Å, b = 6.0395 Å, c = 6.0395 Å
α = 60.00°, β = 60.00°, γ = 60.00°
Closest atoms and distances in Å follow each position.
Atoms (fractional coordinates):
Pa  0.6275  0.6275  0.1175  6 Pa 2.96-3.08
Pa  0.6275  0.1175  0.6275  6 Pa 2.96-3.08
Pa  0.6275  0.6275  0.6275  6 Pa 2.96-3.08
Pa  0.1175  0.6275  0.6275  6 Pa 2.96-3.08
Sn  0.0000  0.0000  0.0000  12 Pa 3.53, 4 Ce 3.70
Ce  0.2500  0.2500  0.2500  12 Pa 3.55, 4 Sn 3.70

The calculation puts the energy of formation at 0.120 eV per atom. The space group is F-43m, No. 216.

***

Entry 20:
Crystalline CePaTcSn at its relaxed geometry, computed with GGA-PBE.

a = 4.9825 Å, b = 4.9825 Å, c = 4.9825 Å
α = 60.00°, β = 60.00°, γ = 60.00°
Closest atoms and distances in Å follow each position.
Atoms (fractional coordinates):
Pa  0.2500  0.2500  0.2500  4 Ce 3.05, 4 Tc 3.05
Sn  0.7500  0.7500  0.7500  4 Ce 3.05, 4 Tc 3.05
Ce  0.5000  0.5000  0.5000  4 Sn 3.05, 4 Pa 3.05
Tc  0.0000  0.0000  0.0000  4 Pa 3.05, 4 Sn 3.05

The calculation puts the energy of formation at -0.096 eV per atom. The space group is F-43m, No. 216.